Entry 1:
This record from OQMD describes a relaxed TaGaFeHg crystal. The functional is PBE.

Cell: 6.4205 6.4205 6.4205 Å, 90.00 90.00 90.00°
With the nearest neighbours (Å) after each atom.
Positions (direct):
Ta  0.0000  0.0000  0.0000  4 Hg 2.78, 4 Ga 2.78
Ta  0.0000  0.5000  0.5000  4 Hg 2.78, 4 Ga 2.78
Ta  0.5000  0.0000  0.5000  4 Hg 2.78, 4 Ga 2.78
Ta  0.5000  0.5000  0.0000  4 Hg 2.78, 4 Ga 2.78
Ga  0.2500  0.2500  0.2500  4 Ta 2.78, 4 Fe 2.78
Ga  0.2500  0.7500  0.7500  4 Ta 2.78, 4 Fe 2.78
Ga  0.7500  0.2500  0.7500  4 Ta 2.78, 4 Fe 2.78
Ga  0.7500  0.7500  0.2500  4 Ta 2.78, 4 Fe 2.78
Fe  0.0000  0.0000  0.5000  4 Hg 2.78, 4 Ga 2.78
Fe  0.0000  0.5000  0.0000  4 Hg 2.78, 4 Ga 2.78
Fe  0.5000  0.0000  0.0000  4 Hg 2.78, 4 Ga 2.78
Fe  0.5000  0.5000  0.5000  4 Hg 2.78, 4 Ga 2.78
Hg  0.2500  0.2500  0.7500  4 Ta 2.78, 4 Fe 2.78
Hg  0.2500  0.7500  0.2500  4 Ta 2.78, 4 Fe 2.78
Hg  0.7500  0.2500  0.2500  4 Ta 2.78, 4 Fe 2.78
Hg  0.7500  0.7500  0.7500  4 Ta 2.78, 4 Fe 2.78

Summary:
For the energy, the calculation gives -87.2 eV per cell. As for the space group: F-43m. The calculation puts the calculated density at 12726 kg/m³.

***

Entry 2:
This record from OQMD describes a relaxed GaFeTcHg crystal. The functional is PBE.

Cell: 6.2875 6.2875 6.2875 Å, 90.00 90.00 90.00°
With the nearest neighbours (Å) after each atom.
Positions (direct):
Ga  0.0000  0.0000  0.0000  4 Fe 2.72, 4 Tc 2.72
Ga  0.0000  0.5000  0.5000  4 Fe 2.72, 4 Tc 2.72
Ga  0.5000  0.0000  0.5000  4 Fe 2.72, 4 Tc 2.72
Ga  0.5000  0.5000  0.0000  4 Fe 2.72, 4 Tc 2.72
Fe  0.2500  0.2500  0.2500  4 Hg 2.72, 4 Ga 2.72
Fe  0.2500  0.7500  0.7500  4 Hg 2.72, 4 Ga 2.72
Fe  0.7500  0.2500  0.7500  4 Hg 2.72, 4 Ga 2.72
Fe  0.7500  0.7500  0.2500  4 Hg 2.72, 4 Ga 2.72
Tc  0.2500  0.2500  0.7500  4 Hg 2.72, 4 Ga 2.72
Tc  0.2500  0.7500  0.2500  4 Hg 2.72, 4 Ga 2.72
Tc  0.7500  0.2500  0.2500  4 Hg 2.72, 4 Ga 2.72
Tc  0.7500  0.7500  0.7500  4 Hg 2.72, 4 Ga 2.72
Hg  0.0000  0.0000  0.5000  4 Fe 2.72, 4 Tc 2.72
Hg  0.0000  0.5000  0.0000  4 Fe 2.72, 4 Tc 2.72
Hg  0.5000  0.0000  0.0000  4 Fe 2.72, 4 Tc 2.72
Hg  0.5000  0.5000  0.5000  4 Fe 2.72, 4 Tc 2.72

Summary:
For the energy, the calculation gives -81.4 eV per cell. As for the space group: F-43m. The calculation puts the calculated density at 11335 kg/m³.

***

Entry 3:
This record from OQMD describes a relaxed GaFeTcHg crystal. The functional is PBE.

Cell: 6.3125 6.3125 6.3125 Å, 90.00 90.00 90.00°
With the nearest neighbours (Å) after each atom.
Positions (direct):
Ga  0.0000  0.0000  0.0000  4 Hg 2.73, 4 Fe 2.73
Ga  0.0000  0.5000  0.5000  4 Hg 2.73, 4 Fe 2.73
Ga  0.5000  0.0000  0.5000  4 Hg 2.73, 4 Fe 2.73
Ga  0.5000  0.5000  0.0000  4 Hg 2.73, 4 Fe 2.73
Fe  0.2500  0.2500  0.2500  4 Tc 2.73, 4 Ga 2.73
Fe  0.2500  0.7500  0.7500  4 Tc 2.73, 4 Ga 2.73
Fe  0.7500  0.2500  0.7500  4 Tc 2.73, 4 Ga 2.73
Fe  0.7500  0.7500  0.2500  4 Tc 2.73, 4 Ga 2.73
Tc  0.0000  0.0000  0.5000  4 Hg 2.73, 4 Fe 2.73
Tc  0.0000  0.5000  0.0000  4 Hg 2.73, 4 Fe 2.73
Tc  0.5000  0.0000  0.0000  4 Hg 2.73, 4 Fe 2.73
Tc  0.5000  0.5000  0.5000  4 Hg 2.73, 4 Fe 2.73
Hg  0.2500  0.2500  0.7500  4 Tc 2.73, 4 Ga 2.73
Hg  0.2500  0.7500  0.2500  4 Tc 2.73, 4 Ga 2.73
Hg  0.7500  0.2500  0.2500  4 Tc 2.73, 4 Ga 2.73
Hg  0.7500  0.7500  0.7500  4 Tc 2.73, 4 Ga 2.73

Summary:
For the energy, the calculation gives -79.3 eV per cell. As for the space group: F-43m. The calculation puts the calculated density at 11200 kg/m³.

***

Entry 4:
This record from OQMD describes a relaxed YGaFeHg crystal. The functional is PBE.

Cell: 6.8131 6.8131 6.8131 Å, 90.00 90.00 90.00°
With the nearest neighbours (Å) after each atom.
Positions (direct):
Y  0.0000  0.0000  0.0000  4 Hg 2.95, 4 Ga 2.95
Y  0.0000  0.5000  0.5000  4 Hg 2.95, 4 Ga 2.95
Y  0.5000  0.0000  0.5000  4 Hg 2.95, 4 Ga 2.95
Y  0.5000  0.5000  0.0000  4 Hg 2.95, 4 Ga 2.95
Ga  0.2500  0.2500  0.2500  4 Fe 2.95, 4 Y 2.95
Ga  0.2500  0.7500  0.7500  4 Fe 2.95, 4 Y 2.95
Ga  0.7500  0.2500  0.7500  4 Fe 2.95, 4 Y 2.95
Ga  0.7500  0.7500  0.2500  4 Fe 2.95, 4 Y 2.95
Fe  0.0000  0.0000  0.5000  4 Ga 2.95, 4 Hg 2.95
Fe  0.0000  0.5000  0.0000  4 Ga 2.95, 4 Hg 2.95
Fe  0.5000  0.0000  0.0000  4 Ga 2.95, 4 Hg 2.95
Fe  0.5000  0.5000  0.5000  4 Ga 2.95, 4 Hg 2.95
Hg  0.2500  0.2500  0.7500  4 Fe 2.95, 4 Y 2.95
Hg  0.2500  0.7500  0.2500  4 Fe 2.95, 4 Y 2.95
Hg  0.7500  0.2500  0.2500  4 Fe 2.95, 4 Y 2.95
Hg  0.7500  0.7500  0.7500  4 Fe 2.95, 4 Y 2.95

Summary:
For the energy, the calculation gives -73.7 eV per cell. As for the space group: F-43m. The calculation puts the calculated density at 8718 kg/m³.

***

Entry 5:
This record from OQMD describes a relaxed YGaFeHg crystal. The functional is PBE.

Cell: 6.8065 6.8065 6.8065 Å, 90.00 90.00 90.00°
With the nearest neighbours (Å) after each atom.
Positions (direct):
Y  0.0000  0.0000  0.0000  4 Hg 2.95, 4 Fe 2.95
Y  0.0000  0.5000  0.5000  4 Fe 2.95, 4 Hg 2.95
Y  0.5000  0.0000  0.5000  4 Fe 2.95, 4 Hg 2.95
Y  0.5000  0.5000  0.0000  4 Fe 2.95, 4 Hg 2.95
Ga  0.0000  0.0000  0.5000  4 Hg 2.95, 4 Fe 2.95
Ga  0.0000  0.5000  0.0000  4 Hg 2.95, 4 Fe 2.95
Ga  0.5000  0.0000  0.0000  4 Hg 2.95, 4 Fe 2.95
Ga  0.5000  0.5000  0.5000  4 Hg 2.95, 4 Fe 2.95
Fe  0.2500  0.2500  0.7500  4 Y 2.95, 4 Ga 2.95
Fe  0.2500  0.7500  0.2500  4 Y 2.95, 4 Ga 2.95
Fe  0.7500  0.2500  0.2500  4 Y 2.95, 4 Ga 2.95
Fe  0.7500  0.7500  0.7500  4 Y 2.95, 4 Ga 2.95
Hg  0.2500  0.2500  0.2500  4 Y 2.95, 4 Ga 2.95
Hg  0.2500  0.7500  0.7500  4 Y 2.95, 4 Ga 2.95
Hg  0.7500  0.2500  0.7500  4 Y 2.95, 4 Ga 2.95
Hg  0.7500  0.7500  0.2500  4 Y 2.95, 4 Ga 2.95

Summary:
For the energy, the calculation gives -71.7 eV per cell. As for the space group: F-43m. The calculation puts the calculated density at 8743 kg/m³.

***

Entry 6:
This record from OQMD describes a relaxed ZnGaFeHg crystal. The functional is PBE.

Cell: 6.3619 6.3619 6.3619 Å, 90.00 90.00 90.00°
With the nearest neighbours (Å) after each atom.
Positions (direct):
Zn  0.0000  0.0000  0.0000  4 Hg 2.75, 4 Fe 2.75
Zn  0.0000  0.5000  0.5000  4 Hg 2.75, 4 Fe 2.75
Zn  0.5000  0.0000  0.5000  4 Hg 2.75, 4 Fe 2.75
Zn  0.5000  0.5000  0.0000  4 Hg 2.75, 4 Fe 2.75
Ga  0.0000  0.0000  0.5000  4 Hg 2.75, 4 Fe 2.75
Ga  0.0000  0.5000  0.0000  4 Hg 2.75, 4 Fe 2.75
Ga  0.5000  0.0000  0.0000  4 Hg 2.75, 4 Fe 2.75
Ga  0.5000  0.5000  0.5000  4 Hg 2.75, 4 Fe 2.75
Fe  0.2500  0.2500  0.7500  4 Zn 2.75, 4 Ga 2.75
Fe  0.2500  0.7500  0.2500  4 Zn 2.75, 4 Ga 2.75
Fe  0.7500  0.2500  0.2500  4 Zn 2.75, 4 Ga 2.75
Fe  0.7500  0.7500  0.7500  4 Zn 2.75, 4 Ga 2.75
Hg  0.2500  0.2500  0.2500  4 Ga 2.75, 4 Zn 2.75
Hg  0.2500  0.7500  0.7500  4 Zn 2.75, 4 Ga 2.75
Hg  0.7500  0.2500  0.7500  4 Zn 2.75, 4 Ga 2.75
Hg  0.7500  0.7500  0.2500  4 Zn 2.75, 4 Ga 2.75

Summary:
For the energy, the calculation gives -46.3 eV per cell. As for the space group: F-43m. The calculation puts the calculated density at 10101 kg/m³.

***

Entry 7:
This record from OQMD describes a relaxed ZnGaFeHg crystal. The functional is PBE.

Cell: 6.3873 6.3873 6.3873 Å, 90.00 90.00 90.00°
With the nearest neighbours (Å) after each atom.
Positions (direct):
Zn  0.0000  0.0000  0.0000  4 Ga 2.77, 4 Hg 2.77
Zn  0.0000  0.5000  0.5000  4 Ga 2.77, 4 Hg 2.77
Zn  0.5000  0.0000  0.5000  4 Ga 2.77, 4 Hg 2.77
Zn  0.5000  0.5000  0.0000  4 Ga 2.77, 4 Hg 2.77
Ga  0.2500  0.2500  0.2500  4 Fe 2.77, 4 Zn 2.77
Ga  0.2500  0.7500  0.7500  4 Fe 2.77, 4 Zn 2.77
Ga  0.7500  0.2500  0.7500  4 Fe 2.77, 4 Zn 2.77
Ga  0.7500  0.7500  0.2500  4 Fe 2.77, 4 Zn 2.77
Fe  0.0000  0.0000  0.5000  4 Hg 2.77, 4 Ga 2.77
Fe  0.0000  0.5000  0.0000  4 Hg 2.77, 4 Ga 2.77
Fe  0.5000  0.0000  0.0000  4 Hg 2.77, 4 Ga 2.77
Fe  0.5000  0.5000  0.5000  4 Hg 2.77, 4 Ga 2.77
Hg  0.2500  0.2500  0.7500  4 Fe 2.77, 4 Zn 2.77
Hg  0.2500  0.7500  0.2500  4 Fe 2.77, 4 Zn 2.77
Hg  0.7500  0.2500  0.2500  4 Fe 2.77, 4 Zn 2.77
Hg  0.7500  0.7500  0.7500  4 Zn 2.77, 4 Fe 2.77

Summary:
For the energy, the calculation gives -46.4 eV per cell. As for the space group: F-43m. The calculation puts the calculated density at 9981 kg/m³.

***

Entry 8:
This record from OQMD describes a relaxed ZrGaFeHg crystal. The functional is PBE.

Cell: 6.5726 6.5726 6.5726 Å, 90.00 90.00 90.00°
With the nearest neighbours (Å) after each atom.
Positions (direct):
Zr  0.0000  0.0000  0.0000  4 Hg 2.85, 4 Ga 2.85
Zr  0.0000  0.5000  0.5000  4 Hg 2.85, 4 Ga 2.85
Zr  0.5000  0.0000  0.5000  4 Hg 2.85, 4 Ga 2.85
Zr  0.5000  0.5000  0.0000  4 Hg 2.85, 4 Ga 2.85
Ga  0.2500  0.2500  0.2500  4 Zr 2.85, 4 Fe 2.85
Ga  0.2500  0.7500  0.7500  4 Zr 2.85, 4 Fe 2.85
Ga  0.7500  0.2500  0.7500  4 Zr 2.85, 4 Fe 2.85
Ga  0.7500  0.7500  0.2500  4 Zr 2.85, 4 Fe 2.85
Fe  0.0000  0.0000  0.5000  4 Ga 2.85, 4 Hg 2.85
Fe  0.0000  0.5000  0.0000  4 Ga 2.85, 4 Hg 2.85
Fe  0.5000  0.0000  0.0000  4 Ga 2.85, 4 Hg 2.85
Fe  0.5000  0.5000  0.5000  4 Ga 2.85, 4 Hg 2.85
Hg  0.2500  0.2500  0.7500  4 Zr 2.85, 4 Fe 2.85
Hg  0.2500  0.7500  0.2500  4 Zr 2.85, 4 Fe 2.85
Hg  0.7500  0.2500  0.2500  4 Zr 2.85, 4 Fe 2.85
Hg  0.7500  0.7500  0.7500  4 Zr 2.85, 4 Fe 2.85

Summary:
For the energy, the calculation gives -80.3 eV per cell. As for the space group: F-43m. The calculation puts the calculated density at 9764 kg/m³.

***

Entry 9:
This record from OQMD describes a relaxed ZrGaFeHg crystal. The functional is PBE.

Cell: 6.5699 6.5699 6.5699 Å, 90.00 90.00 90.00°
With the nearest neighbours (Å) after each atom.
Positions (direct):
Zr  0.0000  0.0000  0.0000  4 Hg 2.84, 4 Fe 2.84
Zr  0.0000  0.5000  0.5000  4 Hg 2.84, 4 Fe 2.84
Zr  0.5000  0.0000  0.5000  4 Hg 2.84, 4 Fe 2.84
Zr  0.5000  0.5000  0.0000  4 Hg 2.84, 4 Fe 2.84
Ga  0.0000  0.0000  0.5000  4 Hg 2.84, 4 Fe 2.84
Ga  0.0000  0.5000  0.0000  4 Fe 2.84, 4 Hg 2.84
Ga  0.5000  0.0000  0.0000  4 Fe 2.84, 4 Hg 2.84
Ga  0.5000  0.5000  0.5000  4 Hg 2.84, 4 Fe 2.84
Fe  0.2500  0.2500  0.7500  4 Zr 2.84, 4 Ga 2.84
Fe  0.2500  0.7500  0.2500  4 Zr 2.84, 4 Ga 2.84
Fe  0.7500  0.2500  0.2500  4 Zr 2.84, 4 Ga 2.84
Fe  0.7500  0.7500  0.7500  4 Ga 2.84, 4 Zr 2.84
Hg  0.2500  0.2500  0.2500  4 Zr 2.84, 4 Ga 2.84
Hg  0.2500  0.7500  0.7500  4 Zr 2.84, 4 Ga 2.84
Hg  0.7500  0.2500  0.7500  4 Zr 2.84, 4 Ga 2.84
Hg  0.7500  0.7500  0.2500  4 Zr 2.84, 4 Ga 2.84

Summary:
For the energy, the calculation gives -79.3 eV per cell. As for the space group: F-43m. The calculation puts the calculated density at 9776 kg/m³.

***

Entry 10:
This record from OQMD describes a relaxed HoGa2Fe crystal. The functional is PBE.

Cell: 4.0853 17.9386 3.9700 Å, 90.00 90.00 90.00°
With the nearest neighbours (Å) after each atom.
Positions (direct):
Ho  0.0000  0.1420  0.0000  4 Fe 3.09, 10 Ga 3.09-3.32
Ho  0.0000  0.8580  0.0000  4 Fe 3.09, 10 Ga 3.09-3.32
Ho  0.5000  0.3580  0.0000  4 Fe 3.09, 10 Ga 3.09-3.32
Ho  0.5000  0.6420  0.0000  4 Fe 3.09, 10 Ga 3.09-3.32
Ga  0.0000  0.0000  0.5000  4 Fe 2.45
Ga  0.0000  0.2907  0.5000  1 Fe 2.40, 2 Ga 2.51
Ga  0.0000  0.5000  0.0000  4 Fe 2.40
Ga  0.0000  0.7093  0.5000  1 Fe 2.40, 2 Ga 2.51
Ga  0.5000  0.0000  0.0000  4 Fe 2.40
Ga  0.5000  0.2093  0.5000  1 Fe 2.40, 2 Ga 2.51
Ga  0.5000  0.5000  0.5000  4 Fe 2.45
Ga  0.5000  0.7907  0.5000  1 Fe 2.40, 2 Ga 2.51
Fe  0.0000  0.4243  0.5000  5 Ga 2.40-2.45
Fe  0.0000  0.5757  0.5000  5 Ga 2.40-2.45
Fe  0.5000  0.0757  0.5000  5 Ga 2.40-2.45
Fe  0.5000  0.9243  0.5000  5 Ga 2.40-2.45

Summary:
For the energy, the calculation gives -82.3 eV per cell. As for the space group: Cmmm. The calculation puts the calculated density at 8224 kg/m³.

***

Entry 11:
This record from OQMD describes a relaxed HoGa6Fe6 crystal. The functional is PBE.

Cell: 6.3600 6.3600 6.3600 Å, 132.58 104.39 94.29°
With the nearest neighbours (Å) after each atom.
Positions (direct):
Ho  0.0000  0.0000  0.0000  4 Ga 2.67-2.98
Ga  0.1819  0.6819  0.5000  6 Fe 2.40-2.45
Ga  0.3423  0.0000  0.3423  1 Ga 2.46, 6 Fe 2.61-2.68, 1 Ho 2.67
Ga  0.3440  0.3440  0.0000  6 Fe 2.43-2.47, 1 Ga 2.70
Ga  0.6560  0.6560  0.0000  6 Fe 2.43-2.47, 1 Ga 2.70
Ga  0.6577  0.0000  0.6577  1 Ga 2.46, 6 Fe 2.61-2.68, 1 Ho 2.67
Ga  0.8181  0.3181  0.5000  6 Fe 2.40-2.45
Fe  0.0000  0.0000  0.5000  6 Ga 2.40-2.61, 4 Fe 2.51-2.56
Fe  0.0000  0.5000  0.0000  6 Ga 2.40-2.61, 4 Fe 2.51-2.56
Fe  0.2403  0.5000  0.7403  6 Ga 2.43-2.68, 4 Fe 2.51
Fe  0.5000  0.0000  0.0000  6 Ga 2.40-2.61, 4 Fe 2.51-2.56
Fe  0.5000  0.5000  0.5000  6 Ga 2.40-2.61, 4 Fe 2.51-2.56
Fe  0.7597  0.5000  0.2597  6 Ga 2.43-2.68, 4 Fe 2.51

Summary:
For the energy, the calculation gives -75.6 eV per cell. As for the space group: Immm. The calculation puts the calculated density at 8840 kg/m³.

***

Entry 12:
This record from OQMD describes a relaxed Ho2InGaFe4 crystal. The functional is PBE.

Cell: 3.9724 4.9766 7.0163 Å, 90.00 90.00 90.00°
With the nearest neighbours (Å) after each atom.
Positions (direct):
Ho  0.0000  0.0000  0.0000  3 Fe 2.69-2.88
Ho  0.0000  0.5000  0.3926  3 Fe 2.81-2.94
In  0.5000  0.0000  0.3513  4 Fe 2.72-2.77
Ga  0.5000  0.5000  0.0303  4 Fe 2.59-2.60
Fe  0.0000  0.0000  0.6168  4 Fe 2.42, 1 Ho 2.69
Fe  0.0000  0.5000  0.7929  4 Fe 2.42, 2 Ga 2.59
Fe  0.5000  0.2505  0.7042  6 Fe 2.42-2.49, 1 Ga 2.60
Fe  0.5000  0.7495  0.7042  6 Fe 2.42-2.49, 1 Ga 2.60

Summary:
For the energy, the calculation gives -50.3 eV per cell. As for the space group: Pmm2. The calculation puts the calculated density at 8832 kg/m³.

***

Entry 13:
This record from OQMD describes a relaxed HoGa2FePt4 crystal. The functional is PBE.

Cell: 4.3631 4.3631 6.8708 Å, 90.00 90.00 90.00°
With the nearest neighbours (Å) after each atom.
Positions (direct):
Ho  0.0000  0.0000  0.0000  8 Pt 2.90, 4 Ga 3.09
Ga  0.0000  0.0000  0.5000  8 Pt 2.67
Ga  0.5000  0.5000  0.0000  8 Pt 2.90, 4 Ho 3.09
Fe  0.5000  0.5000  0.5000  8 Pt 2.67
Pt  0.0000  0.5000  0.2771  2 Fe 2.67, 4 Ga 2.67-2.90, 2 Ho 2.90
Pt  0.0000  0.5000  0.7229  2 Fe 2.67, 4 Ga 2.67-2.90, 2 Ho 2.90
Pt  0.5000  0.0000  0.2771  2 Fe 2.67, 4 Ga 2.67-2.90, 2 Ho 2.90
Pt  0.5000  0.0000  0.7229  2 Fe 2.67, 4 Ga 2.67-2.90, 2 Ho 2.90

Summary:
For the energy, the calculation gives -48.2 eV per cell. As for the space group: P4/mmm. The calculation puts the calculated density at 14480 kg/m³.